Material: PmTiAs
Method: DFT, PBE
State: relaxed

abc: 10.562 3.853 7.207
angles: 90.00 102.25 90.00
Space group C2/m (No. 12)
One atom of each set of equivalent atoms:
1 Pm 0.107 0.000 0.311
2 Ti 0.128 0.500 0.949
3 As 0.187 0.000 0.741

Summary:
Final energy   -78.41 eV for the cell shown
Energy of formation from the pure elements   -0.77 eV per atom